P | # LiLa3Ru | the Alexandria database | PBE | optimized geometry
data_LiLa3Ru
_cell_length_a 7.6539
_cell_length_b 7.6539
_cell_length_c 19.4563
_cell_angle_alpha 90.00
_cell_angle_beta 90.00
_cell_angle_gamma 120.00
_space_group_name_H-M_alt 'R -3'
_space_group_IT_number 148
_space_group_name_Hall '-R 3'
loop_
_atom_site_label
_atom_site_type_symbol
_atom_site_fract_x
_atom_site_fract_y
_atom_site_fract_z
Li1 Li 0.0000 0.0000 0.0793
La1 La 0.0096 0.4282 0.9135
Ru1 Ru 0.0000 0.0000 0.3286
# Crystal system = trigonal

Q | # LiLa3Ru | the Alexandria database | PBE | optimized geometry
data_LiLa3Ru
_cell_length_a 6.216
_cell_length_b 6.348
_cell_length_c 7.869
_cell_angle_alpha 99.83
_cell_angle_beta 90.05
_cell_angle_gamma 106.73
_space_group_name_H-M_alt 'P -1'
_space_group_IT_number 2
loop_
_space_group_symop_operation_xyz
'x,y,z'
'-x,-y,-z'
loop_
_atom_site_label
_atom_site_type_symbol
_atom_site_fract_x
_atom_site_fract_y
_atom_site_fract_z
Li1 Li 0.095 0.439 0.155
La1 La 0.204 0.826 0.540
La2 La 0.258 0.996 0.122
La3 La 0.366 0.410 0.752
Ru1 Ru 0.301 0.298 0.404
# Crystal system = triclinic

Stability ranking, top entry: Q; the second entry is 78 meV per atom less favorable.